(1)
DFT (PBE-GGA) results for a relaxed structure of Ba2Mg12Ag5.

Unit cell a=10.3397 b=10.3397 c=14.8374 alpha=90.00 beta=90.00 gamma=120.00
Space group R-3m (No. 166, hexagonal axes)
Inequivalent atoms, fractional coordinates:
1 Ba 0.0000 0.0000 0.1476 [6 per cell]
2 Mg 0.0000 0.2855 0.5000 [18 per cell]
3 Mg 0.0313 0.5156 0.3509 [18 per cell]
4 Ag 0.0000 0.0000 0.4018 [6 per cell]
5 Ag 0.0000 0.5000 0.0000 [9 per cell]

Output
D(E_F) ... 0.6163 states/eV/atom
ΔE_f ... -145 meV/atom
Crystal system ... trigonal

(2)
DFT (PBE-GGA) results for a relaxed structure of Ba2MgAg.

Unit cell a=4.174 b=4.236 c=8.660 alpha=90.00 beta=90.00 gamma=90.00
Space group Pmmm (No. 47)
Inequivalent atoms, fractional coordinates:
1 Ba 0.000 0.000 0.233 [2 per cell]
2 Mg 0.500 0.500 0.500 [1 per cell]
3 Ag 0.500 0.500 0.000 [1 per cell]

Output
D(E_F) ... 1.2128 states/eV/atom
ΔE_f ... -131 meV/atom
Crystal system ... orthorhombic

(3)
DFT (PBE-GGA) results for a relaxed structure of BaMg2Ag2.

Unit cell a=5.124 b=5.124 c=10.596 alpha=90.00 beta=90.00 gamma=90.00
Space group I4/mmm (No. 139)
Inequivalent atoms, fractional coordinates:
1 Ba 0.000 0.000 0.000 [2 per cell]
2 Mg 0.000 0.000 0.355 [4 per cell]
3 Ag 0.000 0.500 0.250 [4 per cell]

Output
D(E_F) ... 0.4659 states/eV/atom
ΔE_f ... -174 meV/atom
Crystal system ... tetragonal

(4)
DFT (PBE-GGA) results for a relaxed structure of Ba3MgAg3.

Unit cell a=12.908 b=4.830 c=16.731 alpha=90.00 beta=110.61 gamma=90.00
Space group C2/m (No. 12)
Inequivalent atoms, fractional coordinates:
1 Ba 0.024 0.000 0.383 [4 per cell]
2 Ba 0.101 0.000 0.922 [4 per cell]
3 Ba 0.244 0.000 0.234 [4 per cell]
4 Mg 0.245 0.500 0.416 [4 per cell]
5 Ag 0.051 0.500 0.238 [4 per cell]
6 Ag 0.103 0.500 0.078 [4 per cell]
7 Ag 0.127 0.500 0.541 [4 per cell]

Output
D(E_F) ... 0.6652 states/eV/atom
ΔE_f ... -244 meV/atom
Crystal system ... monoclinic

(5)
DFT (PBE-GGA) results for a relaxed structure of Ba2Mg3Ag.

Unit cell a=11.191 b=6.421 c=6.527 alpha=90.00 beta=125.03 gamma=90.00
Space group C2/m (No. 12)
Inequivalent atoms, fractional coordinates:
1 Ba 0.126 0.000 0.378 [4 per cell]
2 Mg 0.000 0.500 0.000 [2 per cell]
3 Mg 0.250 0.250 0.000 [4 per cell]
4 Ag 0.000 0.500 0.500 [2 per cell]

Output
D(E_F) ... 1.0606 states/eV/atom
ΔE_f ... -108 meV/atom
Crystal system ... monoclinic

(6)
DFT (PBE-GGA) results for a relaxed structure of Ba2Mg5Ag5.

Unit cell a=4.709 b=6.123 c=10.548 alpha=90.00 beta=90.00 gamma=90.00
Space group Pmmm (No. 47)
Inequivalent atoms, fractional coordinates:
1 Ba 0.000 0.000 0.000 [1 per cell]
2 Ba 0.000 0.500 0.500 [1 per cell]
3 Mg 0.500 0.000 0.500 [1 per cell]
4 Mg 0.500 0.252 0.241 [4 per cell]
5 Ag 0.000 0.000 0.329 [2 per cell]
6 Ag 0.000 0.500 0.169 [2 per cell]
7 Ag 0.500 0.500 0.000 [1 per cell]

Output
D(E_F) ... 0.5006 states/eV/atom
ΔE_f ... -218 meV/atom
Crystal system ... orthorhombic

(7)
DFT (PBE-GGA) results for a relaxed structure of Ba2MgAg.

Unit cell a=4.8706 b=4.8706 c=25.8486 alpha=90.00 beta=90.00 gamma=120.00
Space group R3m (No. 160, hexagonal axes)
Inequivalent atoms, fractional coordinates:
1 Ba 0.0000 0.0000 0.0000 [3 per cell]
2 Ba 0.0000 0.0000 0.1804 [3 per cell]
3 Mg 0.0000 0.0000 0.7569 [3 per cell]
4 Ag 0.0000 0.0000 0.4236 [3 per cell]

Output
D(E_F) ... 0.7480 states/eV/atom
ΔE_f ... -138 meV/atom
Crystal system ... trigonal

(8)
DFT (PBE-GGA) results for a relaxed structure of BaMg2Ag.

Unit cell a=4.567 b=4.892 c=5.527 alpha=90.00 beta=90.00 gamma=90.00
Space group Pmmm (No. 47)
Inequivalent atoms, fractional coordinates:
1 Ba 0.000 0.000 0.000 [1 per cell]
2 Mg 0.000 0.500 0.500 [1 per cell]
3 Mg 0.500 0.000 0.500 [1 per cell]
4 Ag 0.500 0.500 0.000 [1 per cell]

Output
D(E_F) ... 0.6407 states/eV/atom
ΔE_f ... 41 meV/atom
Crystal system ... orthorhombic

(9)
DFT (PBE-GGA) results for a relaxed structure of Ba6Mg5Ag.

Unit cell a=6.135 b=18.471 c=8.583 alpha=90.00 beta=90.00 gamma=90.00
Space group Cmmm (No. 65)
Inequivalent atoms, fractional coordinates:
1 Ba 0.000 0.000 0.241 [4 per cell]
2 Ba 0.000 0.339 0.246 [8 per cell]
3 Mg 0.000 0.167 0.500 [4 per cell]
4 Mg 0.000 0.178 0.000 [4 per cell]
5 Mg 0.000 0.500 0.500 [2 per cell]
6 Ag 0.000 0.500 0.000 [2 per cell]

Output
D(E_F) ... 0.9573 states/eV/atom
ΔE_f ... -77 meV/atom
Crystal system ... orthorhombic

(10)
DFT (PBE-GGA) results for a relaxed structure of Ba3Mg7Ag4.

Unit cell a=17.851 b=4.826 c=10.892 alpha=90.00 beta=123.72 gamma=90.00
Space group C2/m (No. 12)
Inequivalent atoms, fractional coordinates:
1 Ba 0.000 0.000 0.000 [2 per cell]
2 Ba 0.195 0.500 0.702 [4 per cell]
3 Mg 0.000 0.000 0.500 [2 per cell]
4 Mg 0.007 0.500 0.299 [4 per cell]
5 Mg 0.156 0.000 0.424 [4 per cell]
6 Mg 0.178 0.500 0.015 [4 per cell]
7 Ag 0.115 0.000 0.830 [4 per cell]
8 Ag 0.160 0.500 0.282 [4 per cell]

Output
D(E_F) ... 0.6171 states/eV/atom
ΔE_f ... -178 meV/atom
Crystal system ... monoclinic

(11)
DFT (PBE-GGA) results for a relaxed structure of Ba2Mg15Ag2.

Unit cell a=10.4935 b=10.4935 c=15.4432 alpha=90.00 beta=90.00 gamma=120.00
Space group R-3m (No. 166, hexagonal axes)
Inequivalent atoms, fractional coordinates:
1 Ba 0.0000 0.0000 0.1628 [6 per cell]
2 Mg 0.0000 0.2865 0.5000 [18 per cell]
3 Mg 0.0000 0.5000 0.0000 [9 per cell]
4 Mg 0.0071 0.5035 0.3465 [18 per cell]
5 Ag 0.0000 0.0000 0.4023 [6 per cell]

Output
D(E_F) ... 0.3884 states/eV/atom
ΔE_f ... -71 meV/atom
Crystal system ... trigonal

(12)
DFT (PBE-GGA) results for a relaxed structure of Ba2Mg3Ag4.

Unit cell a=6.481 b=17.446 c=8.564 alpha=90.00 beta=90.00 gamma=90.00
Space group Cmce (No. 64)
Inequivalent atoms, fractional coordinates:
1 Ba 0.000 0.112 0.089 [8 per cell]
2 Mg 0.000 0.000 0.500 [4 per cell]
3 Mg 0.250 0.219 0.750 [8 per cell]
4 Ag 0.000 0.188 0.475 [8 per cell]
5 Ag 0.250 0.055 0.750 [8 per cell]

Output
D(E_F) ... 0.5005 states/eV/atom
ΔE_f ... -179 meV/atom
Crystal system ... orthorhombic